Entry 1:
The following is a DFT calculation (PBE-GGA) of a geometry-optimized AgRhSe2 structure.

a = 3.899 Å, b = 3.899 Å, c = 5.997 Å
α = 90.29°, β = 90.29°, γ = 60.11°
Positions (direct):
Ag  0.000  0.000  0.000
Rh  0.000  0.000  0.500
Se  0.333  0.333  0.299
Se  0.667  0.667  0.701

SG: C2/m, No. 12
ΔE_f (raw): -0.247 eV/atom

Entry 2:
The following is a DFT calculation (PBE-GGA) of a geometry-optimized CrIrPt2Cl structure.

a = 4.492 Å, b = 4.492 Å, c = 4.233 Å
α = 90.00°, β = 90.00°, γ = 90.00°
Positions (direct):
Cr  0.000  0.000  0.000
Ir  0.500  0.500  0.000
Pt  0.000  0.500  0.500
Pt  0.500  0.000  0.500
Cl  0.000  0.000  0.500

SG: P4/mmm, No. 123
ΔE_f (raw): 1.118 eV/atom

Entry 3:
The following is a DFT calculation (PBE-GGA) of a geometry-optimized KGe2IrRh structure.

a = 6.491 Å, b = 6.491 Å, c = 6.491 Å
α = 142.14°, β = 142.14°, γ = 54.61°
Positions (direct):
K  0.000  0.000  0.000
Ge  0.360  0.360  0.000
Ge  0.640  0.640  0.000
Ir  0.750  0.250  0.500
Rh  0.250  0.750  0.500

Energy relative to the elements: -0.387 eV per atom
SG: I-4m2, No. 119

Entry 4:
The following is a DFT calculation (PBE-GGA) of a geometry-optimized Ni3Rh2Se8 structure.

a = 6.434 Å, b = 6.434 Å, c = 6.214 Å
α = 91.24°, β = 91.24°, γ = 69.99°
Positions (direct):
Ni  0.000  0.000  0.000
Ni  0.251  0.749  0.500
Ni  0.749  0.251  0.500
Rh  0.273  0.273  0.963
Rh  0.727  0.727  0.037
Se  0.118  0.118  0.341
Se  0.121  0.637  0.159
Se  0.363  0.879  0.841
Se  0.371  0.371  0.616
Se  0.629  0.629  0.384
Se  0.637  0.121  0.159
Se  0.879  0.363  0.841
Se  0.882  0.882  0.659

SG: C2/m, No. 12
ΔE_f (raw): -0.291 eV/atom

Entry 5:
The following is a DFT calculation (PBE-GGA) of a geometry-optimized K4Tm3HfTe8 structure.

a = 9.684 Å, b = 9.684 Å, c = 9.684 Å
α = 53.75°, β = 53.75°, γ = 53.75°
Positions (direct):
K  0.000  0.000  0.000
K  0.000  0.500  0.500
K  0.500  0.000  0.500
K  0.500  0.500  0.000
Tm  0.000  0.000  0.500
Tm  0.000  0.500  0.000
Tm  0.500  0.000  0.000
Hf  0.500  0.500  0.500
Te  0.236  0.236  0.236
Te  0.246  0.729  0.729
Te  0.271  0.271  0.754
Te  0.271  0.754  0.271
Te  0.729  0.246  0.729
Te  0.729  0.729  0.246
Te  0.754  0.271  0.271
Te  0.764  0.764  0.764

SG: R-3m, No. 166
ΔE_f (raw): -1.233 eV/atom

| no. | Fermi-level density of states (states/eV per atom) |
| --- | --- |
| 1 | 0.002 |
| 2 | 1.129 |
| 3 | 0.327 |
| 4 | 0.579 |
| 5 | 0.281 |